This record from Alexandria describes a relaxed structure of MgCrCo3. The functional is GGA-PBE.

The value obtained for the formation energy is 0.846 eV per atom. The energy relative to the lowest polymorph listed for this composition is 0.000 eV/atom. For the density of states at the Fermi level, the calculation gives 0.988 states/eV/atom. The electronic total energy is -28.31 eV for the cell shown. As for the crystal system: cubic.

The space group is Pm-3m (No. 221) and the conventional cell measures 4.201, 4.201 and 4.201 Å, with angles of 90.00, 90.00 and 90.00 degrees. The inequivalent atoms are Mg at (0.000, 0.000, 0.000), Cr at (0.500, 0.500, 0.500) and Co at (0.000, 0.500, 0.500).

This record from Alexandria describes a relaxed structure of Li2NbS3. The functional is GGA-PBE.

The calculation puts the formation energy without anion corrections at -1.1330 eV per atom. The energy relative to the lowest polymorph listed for this composition is 0.023 eV/atom. For the density of states at the Fermi level, the calculation gives 0.422 states/eV/atom. The electronic total energy is -132.31 eV for the cell shown. As for the crystal system: monoclinic.

The space group is C2/m (No. 12) and the conventional cell measures 6.091, 10.831 and 6.474 Å, with angles of 90.00, 109.01 and 90.00 degrees. The inequivalent atoms are Li at (0.000, 0.000, 0.000), Li at (0.000, 0.153, 0.500), Li at (0.000, 0.500, 0.500), Nb at (0.000, 0.319, 0.000), S at (0.232, 0.500, 0.225) and S at (0.246, 0.328, 0.752).

This record from Alexandria describes a relaxed structure of K3NpTl2S6. The functional is GGA-PBE.

The calculation puts the formation energy without anion corrections at -0.9230 eV per atom. The electronic total energy is -113.61 eV for the cell shown. As for the crystal system: monoclinic.

The space group is C2/m (No. 12) and the conventional cell measures 7.623, 13.046 and 7.449 Å, with angles of 90.00, 110.26 and 90.00 degrees. The inequivalent atoms are K at (0.000, 0.000, 0.000), K at (0.000, 0.322, 0.000), Np at (0.000, 0.500, 0.500), Tl at (0.000, 0.165, 0.500), S at (0.202, 0.500, 0.295) and S at (0.207, 0.361, 0.706).

This record from Alexandria describes a relaxed structure of NpZnGe2Rh. The functional is GGA-PBE.

The value obtained for the formation energy is -0.303 eV per atom. For the density of states at the Fermi level, the calculation gives 2.204 states/eV/atom. The electronic total energy is -64.63 eV for the cell shown. As for the crystal system: tetragonal.

The space group is I-4m2 (No. 119) and the conventional cell measures 4.052, 4.052 and 10.912 Å, with angles of 90.00, 90.00 and 90.00 degrees. The inequivalent atoms are Np at (0.000, 0.000, 0.000), Zn at (0.000, 0.500, 0.750), Ge at (0.000, 0.000, 0.387) and Rh at (0.000, 0.500, 0.250).

This record from Alexandria describes a relaxed structure of ThScZnSn. The functional is GGA-PBE.

The value obtained for the formation energy is -0.329 eV per atom. For the density of states at the Fermi level, the calculation gives 1.086 states/eV/atom. The electronic total energy is -81.37 eV for the cell shown. As for the crystal system: cubic.

The space group is F-43m (No. 216) and the conventional cell measures 7.311, 7.311 and 7.311 Å, with angles of 90.00, 90.00 and 90.00 degrees. The inequivalent atoms are Th at (0.000, 0.000, 0.000), Sc at (0.000, 0.000, 0.500), Zn at (0.250, 0.250, 0.750) and Sn at (0.250, 0.250, 0.250).

This record from Alexandria describes a relaxed structure of Ba8BiAs3I4. The functional is GGA-PBE.

The calculation puts the formation energy without anion corrections at -1.4250 eV per atom. The electronic total energy is -186.64 eV for the cell shown. As for the crystal system: trigonal.

The space group is R-3m (No. 166, hexagonal axes) and the conventional cell measures 9.8576, 9.8576 and 25.3022 Å, with angles of 90.00, 90.00 and 120.00 degrees. The inequivalent atoms are Ba at (0.0000, 0.0000, 0.2345), Ba at (0.0125, 0.5063, 0.7638), Bi at (0.0000, 0.0000, 0.5000), As at (0.0000, 0.5000, 0.5000), I at (0.0000, 0.0000, 0.0000) and I at (0.0000, 0.5000, 0.0000).

This record from Alexandria describes a relaxed structure of Ca2B10Mo. The functional is GGA-PBE.

The value obtained for the formation energy is -0.184 eV per atom. For the density of states at the Fermi level, the calculation gives 0.252 states/eV/atom. The electronic total energy is -167.99 eV for the cell shown. As for the crystal system: orthorhombic.

The space group is Pbam (No. 55) and the conventional cell measures 5.745, 11.809 and 4.199 Å, with angles of 90.00, 90.00 and 90.00 degrees. The inequivalent atoms are Ca at (0.197, 0.146, 0.000), B at (0.066, 0.307, 0.500), B at (0.109, 0.952, 0.500), B at (0.128, 0.802, 0.500), B at (0.228, 0.377, 0.198) and Mo at (0.000, 0.500, 0.500).

This record from Alexandria describes a relaxed structure of AcMg2InPb. The functional is GGA-PBE.

The value obtained for the formation energy is -0.250 eV per atom. For the density of states at the Fermi level, the calculation gives 0.425 states/eV/atom. The electronic total energy is -59.99 eV for the cell shown. As for the crystal system: orthorhombic.

The space group is Cmcm (No. 63) and the conventional cell measures 5.004, 11.863 and 9.805 Å, with angles of 90.00, 90.00 and 90.00 degrees. The inequivalent atoms are Ac at (0.000, 0.045, 0.250), Mg at (0.000, 0.250, 0.586), In at (0.000, 0.500, 0.000) and Pb at (0.000, 0.328, 0.250).

| no. | ρ (g/cm3) |
| --- | --- |
| 1 | 5.670 |
| 2 | 3.339 |
| 3 | 4.566 |
| 4 | 10.205 |
| 5 | 7.839 |
| 6 | 4.773 |
| 7 | 3.313 |
| 8 | 6.819 |